SnPW4N2 | PBE | optimized geometry

Calculated values
**Magnetization**: 0.01 μB/cell
**Mass density**: 14.14 Mg/m³
**VASP energy**: -75.77 eV per cell

a = 3.018 Å, b = 3.018 Å, c = 13.585 Å
α = 90.00°, β = 90.00°, γ = 120.00°
Atoms (fractional coordinates):
P: 0.667 0.333 0.500
N: 0.333 0.667 0.268
N: 0.333 0.667 0.732
W: 0.667 0.333 0.826
W: 0.000 0.000 0.371
W: 0.667 0.333 0.174
W: 0.000 0.000 0.629
Sn: 0.000 0.000 0.000


Zn2Sn2PN3 | PBE | optimized geometry

Calculated values
**Mass density**: 5.83 Mg/m³
**VASP energy**: -40.26 eV per cell

a = 6.111 Å, b = 6.111 Å, c = 5.043 Å
α = 114.34°, β = 114.34°, γ = 48.49°
Atoms (fractional coordinates):
Zn: 0.715 0.008 0.142
Zn: 0.992 0.285 0.858
Sn: 0.534 0.730 0.402
Sn: 0.270 0.466 0.598
N: 0.380 0.120 0.748
N: 0.880 0.620 0.252
N: 0.633 0.367 0.500
P: 0.096 0.904 0.000


Zr4SnPN2 | PBE | optimized geometry

Calculated values
**Magnetization**: 0.01 μB/cell
**Mass density**: 6.87 Mg/m³
**VASP energy**: -70.52 eV per cell

a = 3.372 Å, b = 3.372 Å, c = 13.311 Å
α = 90.00°, β = 90.00°, γ = 120.00°
Atoms (fractional coordinates):
N: 0.000 0.000 0.269
N: 0.000 0.000 0.731
Sn: 0.667 0.333 0.000
Zr: 0.667 0.333 0.635
Zr: 0.667 0.333 0.365
Zr: 0.333 0.667 0.179
Zr: 0.333 0.667 0.821
P: 0.333 0.667 0.500


Zr4SnPN2 | PBE | optimized geometry

Calculated values
**Magnetization**: 0.01 μB/cell
**Mass density**: 6.87 Mg/m³
**VASP energy**: -70.52 eV per cell

a = 3.372 Å, b = 3.372 Å, c = 13.311 Å
α = 90.00°, β = 90.00°, γ = 120.00°
Atoms (fractional coordinates):
Zr: 0.000 0.000 0.679
Zr: 0.000 0.000 0.321
Zr: 0.667 0.333 0.135
Zr: 0.667 0.333 0.865
P: 0.000 0.000 0.000
N: 0.333 0.667 0.769
N: 0.333 0.667 0.231
Sn: 0.667 0.333 0.500